! BaBi3Br (PBE, optimized geometry); values from VASP
! volume: 53.8 A^3/atom
! E above lowest polymorph: 724 meV/atom
! total DFT energy (no corrections): -2.295 eV per atom
! spin magnetization: 0.000 Bohr magnetons per cell
! ΔE_f (raw): 0.75 eV/atom
&SYSTEM
  ibrav = 0, nat = 5, ntyp = 3
/
ATOMIC_SPECIES
Ba 137.33 Ba.upf
Bi 208.98 Bi.upf
Br 79.90 Br.upf
ATOMIC_POSITIONS crystal
Ba 0.000 0.000 0.000
Bi 0.000 0.000 0.500
Bi 0.000 0.500 0.000
Bi 0.500 0.000 0.000
Br 0.500 0.500 0.500
CELL_PARAMETERS angstrom
6.457 0.000 0.000
0.000 6.457 0.000
0.000 0.000 6.457